[1]
VASP calculation (GGA-PBE) on an optimized crystal structure of Na3LaPm2S6.

Cell and atoms, written as POSCAR:
```
Na3LaPm2S6
1.0
7.180 -0.002 0.001
-3.590 6.218 0.001
-1.197 -2.073 6.674
Na La Pm S
3 1 2 6
Cartesian
-2.386 4.141 3.338 Na
4.779 0.003 3.338 Na
1.197 2.072 3.338 Na
0.000 0.000 0.000 La
0.000 4.145 0.001 Pm
3.590 2.072 0.001 Pm
3.609 2.038 5.125 S
2.374 4.111 1.558 S
-1.216 2.106 1.550 S
-0.039 4.145 5.125 S
0.019 0.034 5.117 S
2.432 -0.001 1.550 S
```

ΔE_f (raw) = -1.8244 eV per atom
theoretical density = 3.85 g/cm3


[2]
VASP calculation (GGA-PBE) on an optimized crystal structure of Na4LaPm3S8.

Cell and atoms, written as POSCAR:
```
Na4LaPm3S8
1.0
8.267 0.000 0.000
0.000 8.216 -0.045
-4.134 -4.131 5.846
Na La Pm S
4 1 3 8
Cartesian
4.134 0.000 0.000 Na
2.067 -2.065 2.923 Na
0.000 0.000 0.000 Na
-2.067 -2.065 2.923 Na
0.000 4.108 -0.023 La
4.134 4.108 -0.023 Pm
2.067 2.042 2.900 Pm
-2.067 2.042 2.900 Pm
-2.036 1.945 5.732 S
0.000 3.980 2.853 S
0.000 0.091 2.982 S
2.036 1.945 5.732 S
2.098 2.139 0.069 S
4.133 3.994 2.819 S
4.134 0.105 2.948 S
6.169 2.139 0.069 S
```

ΔE_f (raw) = -1.8202 eV per atom
theoretical density = 3.87 g/cm3


[3]
VASP calculation (GGA-PBE) on an optimized crystal structure of NaLa3Pm2Se6.

Cell and atoms, written as POSCAR:
```
NaLa3Pm2Se6
1.0
7.406 -0.006 -0.002
-3.706 6.412 -0.002
-1.236 -2.140 6.920
Na La Pm Se
1 3 2 6
Cartesian
0.000 0.000 0.000 Na
-2.490 4.283 3.458 La
4.954 -0.017 3.458 La
1.232 2.133 3.458 La
0.003 4.269 -0.002 Pm
3.696 2.136 -0.002 Pm
3.696 2.139 5.236 Se
2.475 4.286 1.654 Se
-1.232 2.127 1.680 Se
0.006 4.270 5.236 Se
-0.011 -0.020 5.263 Se
2.458 -0.004 1.680 Se
```

ΔE_f (raw) = -1.8643 eV per atom
theoretical density = 6.09 g/cm3